## PmGa2Ni2P (PBE)

Data for a geometry-optimized PmGa2Ni2P structure.

a b c (Å): 4.288 4.288 5.540
angles (deg): 90.00 90.00 90.00
Element x y z (fractional)
Pm (0.000, 0.000, 0.000)
Ga (0.500, 0.500, 0.233)
Ga (0.500, 0.500, 0.767)
Ni (0.000, 0.500, 0.500)
Ni (0.500, 0.000, 0.500)
P (0.000, 0.000, 0.500)

DFT formation energy in kJ/mol of atoms: -53
Space group: P4/mmm (123)


## Pm2GaNi4P3 (PBE)

Data for a geometry-optimized Pm2GaNi4P3 structure.

a b c (Å): 3.975 3.975 9.614
angles (deg): 90.00 90.00 90.00
Element x y z (fractional)
Pm (0.000, 0.500, 0.243)
Pm (0.500, 0.000, 0.757)
Ga (0.000, 0.000, 0.500)
Ni (0.000, 0.000, 0.000)
Ni (0.000, 0.500, 0.633)
Ni (0.500, 0.000, 0.367)
Ni (0.500, 0.500, 0.000)
P (0.000, 0.500, 0.870)
P (0.500, 0.000, 0.130)
P (0.500, 0.500, 0.500)

DFT formation energy in kJ/mol of atoms: -90
Space group: P-4m2 (115)


## PmGaNi4P2 (PBE)

Data for a geometry-optimized PmGaNi4P2 structure.

a b c (Å): 3.927 3.927 7.457
angles (deg): 90.00 90.00 90.00
Element x y z (fractional)
Pm (0.000, 0.000, 0.000)
Ga (0.000, 0.000, 0.500)
Ni (0.000, 0.500, 0.311)
Ni (0.000, 0.500, 0.689)
Ni (0.500, 0.000, 0.311)
Ni (0.500, 0.000, 0.689)
P (0.500, 0.500, 0.162)
P (0.500, 0.500, 0.838)

DFT formation energy in kJ/mol of atoms: -65
Space group: P4/mmm (123)